(1)
VASP calculation (GGA-PBE) on a relaxed structure of CeEr8In6.

DFT formation energy	-0.17	eV/atom

Lattice parameters (Å, degrees): 9.0252 9.0252 8.2773 56.96 56.96 60.00
Last column: magnetic moment on the atom in μB.
Sites, in units of the cell vectors:
Er: 0.3317 0.3317 0.0048  0.00
Er: 0.5601 0.2169 0.3382  -0.03
Er: 0.4399 0.7831 0.6618  -0.03
Er: 0.2169 0.8847 0.3382  -0.03
Er: 0.7831 0.1153 0.6618  -0.03
Er: 0.1153 0.4399 0.6618  -0.03
Er: 0.6683 0.6683 0.9952  0.00
Er: 0.8847 0.5601 0.3382  -0.03
Ce: 0.0000 0.0000 0.0000  -0.81
In: 0.2807 0.5989 0.1807  -0.01
In: 0.0603 0.7193 0.8193  -0.01
In: 0.5989 0.9397 0.1807  -0.01
In: 0.7193 0.4011 0.8193  -0.01
In: 0.9397 0.2807 0.1807  -0.01
In: 0.4011 0.0603 0.8193  -0.01

(2)
VASP calculation (GGA-PBE) on a relaxed structure of Be2SbAs.

formation energy from raw total energies	0.667	eV per atom

Lattice parameters (Å, degrees): 3.5689 4.2740 4.2740 90.00 90.00 90.00
Sites, in units of the cell vectors:
As: 0.5000 0.0000 0.5000
Be: 0.0000 0.5000 0.5000
Be: 0.0000 0.0000 0.0000
Sb: 0.5000 0.5000 0.0000

(3)
VASP calculation (GGA-PBE) on a relaxed structure of Ti2TlGe.

DFT formation energy	0.06	eV/atom

Lattice parameters (Å, degrees): 7.3288 7.3288 5.9483 51.97 51.97 90.00
Sites, in units of the cell vectors:
Ti: 0.3750 0.3961 0.7500
Ti: 0.8750 0.8539 0.7500
Ti: 0.1461 0.6250 0.2500
Ti: 0.6039 0.1250 0.2500
Ge: 0.5000 0.5000 0.0000
Ge: 0.2500 0.7500 0.5000
Tl: 0.7500 0.2500 0.5000
Tl: 0.0000 0.0000 0.0000

(4)
VASP calculation (GGA-PBE) on a relaxed structure of BeTcNiAs2.

DFT formation energy	0.69	eV/atom

Lattice parameters (Å, degrees): 4.4162 3.8486 4.4162 90.00 90.00 90.00
Last column: magnetic moment on the atom in μB.
Sites, in units of the cell vectors:
As: 0.0000 0.0000 0.5000  -0.01
As: 0.5000 0.0000 0.0000  -0.04
Be: 0.0000 0.0000 0.0000  0.01
Tc: 0.5000 0.5000 0.5000  2.12
Ni: 0.0000 0.5000 0.0000  0.22

(5)
VASP calculation (GGA-PBE) on a relaxed structure of LiP2IrS.

formation energy from raw total energies	0.290	eV per atom

Lattice parameters (Å, degrees): 4.4632 4.4632 5.4785 90.00 90.00 90.00
Sites, in units of the cell vectors:
P: 0.0000 0.5000 0.0000
P: 0.5000 0.0000 0.0000
Li: 0.5000 0.5000 0.5000
S: 0.0000 0.0000 0.5000
Ir: 0.0000 0.0000 0.0000

(6)
VASP calculation (GGA-PBE) on a relaxed structure of LiGaS2.

formation energy from raw total energies	-0.862	eV per atom

Lattice parameters (Å, degrees): 13.6910 3.5599 6.1741 90.00 116.88 90.00
Sites, in units of the cell vectors:
S: 0.1358 0.2495 0.2187
S: 0.8642 0.2505 0.2812
S: 0.1358 0.7495 0.7188
S: 0.6358 0.2505 0.7187
S: 0.8642 0.7505 0.7813
S: 0.3642 0.2495 0.7812
S: 0.6358 0.7505 0.2188
S: 0.3642 0.7495 0.2813
Li: 0.0000 0.2500 0.7499
Li: 0.5000 0.7500 0.7501
Li: 0.5000 0.2500 0.2499
Li: 0.0000 0.7500 0.2501
Ga: 0.2500 0.7493 0.5000
Ga: 0.2500 0.2493 0.0000
Ga: 0.7500 0.7507 0.0000
Ga: 0.7500 0.2507 0.5000

(7)
VASP calculation (GGA-PBE) on a relaxed structure of ZrPd3Au.

DFT formation energy	0.83	eV/atom

Lattice parameters (Å, degrees): 4.8805 4.8805 4.8805 90.00 90.00 90.00
Sites, in units of the cell vectors:
Pd: 0.0000 0.0000 0.5000
Pd: 0.0000 0.5000 0.0000
Pd: 0.5000 0.0000 0.0000
Au: 0.0000 0.0000 0.0000
Zr: 0.5000 0.5000 0.5000

(8)
VASP calculation (GGA-PBE) on a relaxed structure of MgReSi2F.

formation energy from raw total energies	0.635	eV per atom

Lattice parameters (Å, degrees): 4.5048 3.9887 4.5048 90.00 90.00 90.00
Sites, in units of the cell vectors:
Si: 0.0000 0.0000 0.5000
Si: 0.5000 0.0000 0.0000
Mg: 0.5000 0.5000 0.5000
Re: 0.0000 0.5000 0.0000
F: 0.0000 0.0000 0.0000

(9)
VASP calculation (GGA-PBE) on a relaxed structure of AlCd2Tc.

DFT formation energy	0.19	eV/atom

Lattice parameters (Å, degrees): 3.7105 4.1530 4.4989 90.00 90.00 90.00
Sites, in units of the cell vectors:
Tc: 0.5000 0.0000 0.5000
Cd: 0.5000 0.5000 0.0000
Cd: 0.0000 0.0000 0.0000
Al: 0.0000 0.5000 0.5000

(10)
VASP calculation (GGA-PBE) on a relaxed structure of La2MgTcIr.

DFT formation energy	1.21	eV/atom

Lattice parameters (Å, degrees): 5.5567 4.4863 5.5567 90.00 90.00 90.00
Last column: magnetic moment on the atom in μB.
Sites, in units of the cell vectors:
La: 0.5000 0.0000 0.0000  -0.05
La: 0.0000 0.0000 0.5000  -0.04
Tc: 0.0000 0.5000 0.0000  0.96
Ir: 0.5000 0.5000 0.5000  0.07
Mg: 0.0000 0.0000 0.0000  -0.01

(11)
VASP calculation (GGA-PBE) on a relaxed structure of ZnInNi2.

DFT formation energy	-0.06	eV/atom

Lattice parameters (Å, degrees): 4.8612 4.8612 4.8612 135.25 135.09 65.26
Sites, in units of the cell vectors:
Zn: 0.5001 0.5001 0.0000
In: 0.2497 0.7497 0.5000
Ni: 0.7504 0.2504 0.5000
Ni: 0.9998 0.9998 0.0000

(12)
VASP calculation (GGA-PBE) on a relaxed structure of Te3Pt2Cl.

formation energy from raw total energies	-0.331	eV per atom

Lattice parameters (Å, degrees): 4.0453 8.3369 10.4332 82.55 78.82 75.96
Sites, in units of the cell vectors:
Te: 0.9321 0.9312 0.2045
Te: 0.6835 0.6776 0.9554
Te: 0.8115 0.8216 0.5553
Te: 0.1885 0.1784 0.4447
Te: 0.3165 0.3224 0.0446
Te: 0.0679 0.0688 0.7955
Pt: 0.8720 0.3729 0.8830
Pt: 0.6259 0.1296 0.6186
Pt: 0.1280 0.6271 0.1170
Pt: 0.3741 0.8704 0.3814
Cl: 0.4490 0.4230 0.6790
Cl: 0.5510 0.5770 0.3210

The N(E_F) results, record by record, are as follows: 25.17 1.98 6.92 3.07 4.23 0.00 8.27 4.05 2.39 5.34 2.33 4.37 states/eV per cell.
The ρ results, record by record, are as follows: 7.93 5.47 7.89 6.98 4.46 3.48 8.68 5.86 8.38 7.10 8.78 8.05 g/cm3.
The M_tot results, record by record, are as follows: 1.3 0.0 0.0 2.5 0.0 0.0 0.0 0.0 0.0 1.0 0.0 0.0 Bohr magnetons per cell.